# 1
A plane-wave DFT calculation with GGA-PBE was carried out for an optimized crystal structure of Ce2MnAl2Si4.

## Properties
SG: I4/mmm
Fermi-level density of states (states/eV/cell): 9.212
Energy (eV per cell): -54.7
Formation energy from raw total energies (eV per atom): -0.50
Crystal system: tetragonal

abc: 6.0273 6.0273 6.0273
angles: 89.83 120.10 120.10
With the nearest neighbours (Å) after each atom.
Sites, in units of the cell vectors:
Ce  0.5000  0.7500  0.2500  8 Si 3.02, 4 Al 3.02
Ce  0.5000  0.2500  0.7500  8 Si 3.02, 4 Al 3.02
Mn  0.0000  0.0000  0.0000  4 Si 2.36, 2 Al 2.43
Al  0.0000  0.7148  0.7148  1 Mn 2.43, 4 Si 2.64
Al  0.0000  0.2852  0.2852  1 Mn 2.43, 4 Si 2.64
Si  0.0000  0.7225  0.2775  1 Mn 2.36, 2 Al 2.64
Si  0.4451  0.7225  0.7225  1 Mn 2.36, 2 Al 2.64
Si  0.0000  0.2775  0.7225  1 Mn 2.36, 2 Al 2.64
Si  0.5549  0.2775  0.2775  1 Mn 2.36, 2 Al 2.64

=====

# 2
A plane-wave DFT calculation with GGA-PBE was carried out for an optimized crystal structure of LaMo.

## Properties
Energy above the lowest structure with this stoichiometry (meV/atom): 79
SG: P6_3/mmc
Fermi-level density of states (states/eV/cell): 15.380
Energy (eV per cell): -90.7
Crystal system: hexagonal

abc: 8.2198 8.2198 5.3709
angles: 90.00 90.00 120.00
With the nearest neighbours (Å) after each atom.
Sites, in units of the cell vectors:
La  0.8272  0.6543  0.2500  2 Mo 2.93
La  0.1728  0.8272  0.7500  2 Mo 2.93
La  0.3457  0.1728  0.2500  2 Mo 2.93
La  0.1728  0.3457  0.7500  2 Mo 2.93
La  0.8272  0.1728  0.2500  2 Mo 2.93
La  0.6543  0.8272  0.7500  2 Mo 2.93
Mo  0.4343  0.8686  0.2500  2 Mo 2.49
Mo  0.5657  0.4343  0.7500  2 Mo 2.49
Mo  0.1314  0.5657  0.2500  2 Mo 2.49
Mo  0.5657  0.1314  0.7500  2 Mo 2.49
Mo  0.4343  0.5657  0.2500  2 Mo 2.49
Mo  0.8686  0.4343  0.7500  2 Mo 2.49

=====

# 3
A plane-wave DFT calculation with GGA-PBE was carried out for an optimized crystal structure of Y2Be15Ni2.

## Properties
SG: R-3m
Fermi-level density of states (states/eV/cell): 7.810
Energy (eV per cell): -84.3
Crystal system: trigonal

abc: 5.8896 5.8896 5.8896
angles: 82.81 82.81 82.81
With the nearest neighbours (Å) after each atom.
Sites, in units of the cell vectors:
Y  0.3425  0.3425  0.3425  1 Ni 2.73, 18 Be 2.86-3.01
Y  0.6575  0.6575  0.6575  1 Ni 2.73, 18 Be 2.86-3.01
Be  0.5000  0.0000  0.0000  8 Be 2.22, 2 Ni 2.36
Be  0.0000  0.0000  0.5000  8 Be 2.22, 2 Ni 2.36
Be  0.0000  0.5000  0.0000  8 Be 2.22, 2 Ni 2.36
Be  0.0000  0.7265  0.2735  6 Be 2.13-2.26
Be  0.7265  0.2735  0.0000  6 Be 2.13-2.26
Be  0.2735  0.0000  0.7265  6 Be 2.13-2.26
Be  0.2735  0.7265  0.0000  6 Be 2.13-2.26
Be  0.7265  0.0000  0.2735  6 Be 2.13-2.26
Be  0.0000  0.2735  0.7265  6 Be 2.13-2.26
Be  0.1524  0.6661  0.6661  6 Be 2.22-2.31, 1 Ni 2.32
Be  0.6661  0.6661  0.1524  6 Be 2.22-2.31, 1 Ni 2.32
Be  0.6661  0.1524  0.6661  6 Be 2.22-2.31, 1 Ni 2.32
Be  0.8476  0.3339  0.3339  6 Be 2.22-2.31, 1 Ni 2.32
Be  0.3339  0.3339  0.8476  6 Be 2.22-2.31, 1 Ni 2.32
Be  0.3339  0.8476  0.3339  6 Be 2.22-2.31, 1 Ni 2.32
Ni  0.1032  0.1032  0.1032  12 Be 2.32-2.43, 1 Ni 2.35
Ni  0.8968  0.8968  0.8968  12 Be 2.32-2.43, 1 Ni 2.35

=====

# 4
A plane-wave DFT calculation with GGA-PBE was carried out for an optimized crystal structure of KZnPb2.

## Properties
Energy above the lowest structure with this stoichiometry (meV/atom): 172
SG: Cmmm
Fermi-level density of states (states/eV/cell): 1.337
Energy (eV per cell): -9.2
Crystal system: orthorhombic

abc: 6.3198 6.3198 3.3172
angles: 90.00 90.00 115.11
With the nearest neighbours (Å) after each atom.
Sites, in units of the cell vectors:
K  0.0000  0.5000  0.5000  2 K 3.32, 2 Zn 3.39, 8 Pb 3.57
Pb  0.0000  0.0000  0.0000  4 Pb 3.32-3.39, 4 Zn 3.57, 4 K 3.57
Pb  0.5000  0.5000  0.0000  4 Pb 3.32-3.39, 4 K 3.57, 4 Zn 3.57
Zn  0.5000  0.0000  0.5000  2 Zn 3.32, 2 K 3.39, 8 Pb 3.57

=====

# 5
A plane-wave DFT calculation with GGA-PBE was carried out for an optimized crystal structure of Cr2CN2.

## Properties
Energy above the lowest structure with this stoichiometry (meV/atom): 493
SG: P4/mbm
Fermi-level density of states (states/eV/cell): 7.385
Energy (eV per cell): -80.6
Formation energy from raw total energies (eV per atom): 0.96
Crystal system: tetragonal

abc: 5.6290 5.6290 2.5350
angles: 90.00 90.00 90.00
With the nearest neighbours (Å) after each atom.
Sites, in units of the cell vectors:
Cr  0.1628  0.6628  0.5000  6 N 2.02-2.13
Cr  0.6628  0.8372  0.5000  6 N 2.02-2.13
Cr  0.8372  0.3372  0.5000  6 N 2.02-2.13
Cr  0.3372  0.1628  0.5000  6 N 2.02-2.13
C  0.0000  0.0000  0.0000  4 N 2.18
C  0.5000  0.5000  0.0000  4 N 2.18
N  0.3602  0.8602  0.0000  6 Cr 2.02-2.13, 2 C 2.18, 1 N 2.23
N  0.8602  0.6398  0.0000  6 Cr 2.02-2.13, 2 C 2.18, 1 N 2.23
N  0.6398  0.1398  0.0000  6 Cr 2.02-2.13, 2 C 2.18, 1 N 2.23
N  0.1398  0.3602  0.0000  6 Cr 2.02-2.13, 2 C 2.18, 1 N 2.23

=====

# 6
A plane-wave DFT calculation with GGA-PBE was carried out for an optimized crystal structure of KHf2TiW.

## Properties
SG: P4/mmm
Fermi-level density of states (states/eV/cell): 5.967
Energy (eV per cell): -31.8
Crystal system: tetragonal

abc: 4.9465 4.7411 4.9465
angles: 90.00 90.00 90.00
With the nearest neighbours (Å) after each atom.
Sites, in units of the cell vectors:
K  0.0000  0.5000  0.0000  2 Ti 2.37
Hf  0.0000  0.0000  0.5000  2 Ti 2.47
Hf  0.5000  0.0000  0.0000  2 Ti 2.47
W  0.5000  0.5000  0.5000  8 Hf 3.43, 4 K 3.50
Ti  0.0000  0.0000  0.0000  2 K 2.37, 4 Hf 2.47

=====

# 7
A plane-wave DFT calculation with GGA-PBE was carried out for an optimized crystal structure of K2RbCeBr6.

## Properties
Energy above the lowest structure with this stoichiometry (meV/atom): 0
SG: P2_1/c
Fermi-level density of states (states/eV/cell): 18.750
Energy (eV per cell): -74.2
Formation energy from raw total energies (eV per atom): -1.79
Crystal system: monoclinic

abc: 8.0336 8.6273 11.7353
angles: 90.00 89.38 90.00
With the nearest neighbours (Å) after each atom.
Sites, in units of the cell vectors:
K  0.0326  0.9192  0.2556  6 Br 3.35-3.69
K  0.5326  0.5808  0.7556  6 Br 3.35-3.69
K  0.9674  0.0808  0.7444  6 Br 3.35-3.69
K  0.4674  0.4192  0.2444  6 Br 3.35-3.69
Rb  0.5000  0.0000  0.0000  6 Br 3.35-3.49
Rb  0.0000  0.5000  0.5000  6 Br 3.35-3.49
Ce  0.5000  0.0000  0.5000  6 Br 2.91-2.94
Ce  0.0000  0.5000  0.0000  6 Br 2.91-2.94
Br  0.2927  0.6746  0.0669  1 Ce 2.91
Br  0.7927  0.8254  0.5669  1 Ce 2.91
Br  0.7073  0.3254  0.9331  1 Ce 2.91
Br  0.2073  0.1746  0.4331  1 Ce 2.91
Br  0.3390  0.7177  0.4144  1 Ce 2.94
Br  0.8390  0.7823  0.9144  1 Ce 2.94
Br  0.6610  0.2823  0.5856  1 Ce 2.94
Br  0.1610  0.2177  0.0856  1 Ce 2.94
Br  0.8544  0.5683  0.2255  1 Ce 2.94
Br  0.3544  0.9317  0.7255  1 Ce 2.94
Br  0.1456  0.4317  0.7745  1 Ce 2.94
Br  0.6456  0.0683  0.2745  1 Ce 2.94

=====

# 8
A plane-wave DFT calculation with GGA-PBE was carried out for an optimized crystal structure of PPb2Se.

## Properties
Energy above the lowest structure with this stoichiometry (meV/atom): 155
SG: R3m
Fermi-level density of states (states/eV/cell): 1.701
Energy (eV per cell): -16.2
Formation energy from raw total energies (eV per atom): 0.02
Crystal system: trigonal

abc: 8.3574 8.3574 8.3574
angles: 28.70 28.70 28.70
With the nearest neighbours (Å) after each atom.
Sites, in units of the cell vectors:
P  0.2630  0.2630  0.2630  3 Pb 2.67
Pb  0.9794  0.9794  0.9794  3 P 2.67
Pb  0.7633  0.7633  0.7633  3 Se 2.85
Se  0.4943  0.4943  0.4943  3 Pb 2.85

=====

# 9
A plane-wave DFT calculation with GGA-PBE was carried out for an optimized crystal structure of PmDyHgTe.

## Properties
SG: R3m
Fermi-level density of states (states/eV/cell): 2.181
Energy (eV per cell): -16.3
Formation energy from raw total energies (eV per atom): -0.88
Crystal system: trigonal

abc: 4.2211 4.2211 8.1500
angles: 74.99 74.99 60.00
With the nearest neighbours (Å) after each atom.
Sites, in units of the cell vectors:
Pm  0.4999  0.4999  0.5002  3 Te 3.15, 3 Hg 3.15
Dy  0.0002  0.0002  0.9995  3 Te 3.08, 3 Hg 3.08
Hg  0.2525  0.2525  0.2426  3 Dy 3.08, 3 Pm 3.15
Te  0.7474  0.7474  0.7577  3 Dy 3.08, 3 Pm 3.15

=====

# 10
A plane-wave DFT calculation with GGA-PBE was carried out for an optimized crystal structure of Na4TmPa3Te8.

## Properties
SG: R-3m
Fermi-level density of states (states/eV/cell): 16.984
Energy (eV per cell): -78.5
Formation energy from raw total energies (eV per atom): -0.95
Crystal system: trigonal

abc: 8.6652 9.2631 8.6653
angles: 117.90 120.00 90.00
With the nearest neighbours (Å) after each atom.
Sites, in units of the cell vectors:
Na  0.5000  0.0000  0.0000  6 Te 3.27
Na  0.5000  0.0000  0.5000  6 Te 3.21-3.22
Na  0.0000  0.0000  0.0000  6 Te 3.21-3.22
Na  0.0000  0.0000  0.5000  6 Te 3.21-3.22
Tm  0.0000  0.5000  0.0000  6 Te 3.07
Pa  0.5000  0.5000  0.0000  6 Te 3.12-3.13
Pa  0.5000  0.5000  0.5000  6 Te 3.12-3.13
Pa  0.0000  0.5000  0.5000  6 Te 3.12-3.13
Te  0.2427  0.7363  0.9938  1 Tm 3.07, 2 Pa 3.12, 3 Na 3.22-3.27
Te  0.2428  0.7364  0.4855  1 Tm 3.07, 2 Pa 3.12, 3 Na 3.22-3.27
Te  0.2527  0.2582  0.5053  3 Pa 3.13, 3 Na 3.21
Te  0.7510  0.7363  0.9938  1 Tm 3.07, 2 Pa 3.12, 3 Na 3.22-3.27
Te  0.2490  0.2637  0.0062  1 Tm 3.07, 2 Pa 3.12, 3 Na 3.22-3.27
Te  0.7473  0.7418  0.4947  3 Pa 3.13, 3 Na 3.21
Te  0.7572  0.2636  0.5145  1 Tm 3.07, 2 Pa 3.12, 3 Na 3.22-3.27
Te  0.7573  0.2637  0.0062  1 Tm 3.07, 2 Pa 3.12, 3 Na 3.22-3.27